VASP calculation (PBE) on a geometry-optimized Zr2Ga2Ni structure.

Results
energy relative to the lowest polymorph listed for this composition = 247.6 meV per atom
E_form = -0.348 eV per atom
final energy = -61.34 eV per cell
N(E_F) = 12.07 states/eV/cell

Cell lengths 5.5761, 5.9694, 7.0245 Å; angles 115.14, 113.38, 90.00 degrees
Positions (direct):
Zr1 0.8729 0.6729 0.7458
Zr2 0.1271 0.3271 0.2542
Zr3 0.6271 0.9271 0.2542
Zr4 0.3729 0.0729 0.7458
Ga1 0.3729 0.6026 0.7457
Ga2 0.6271 0.3974 0.2543
Ga3 0.1271 0.8568 0.2543
Ga4 0.8729 0.1432 0.7457
Ni1 0.7500 0.5000 0.0000
Ni2 0.2500 0.5000 0.0000

=====

VASP calculation (PBE) on a geometry-optimized ZrGa3Ni2 structure.

Results
E_form = -0.452 eV per atom
final energy = -63.81 eV per cell
N(E_F) = 5.31 states/eV/cell

Cell lengths 3.8343, 7.6899, 7.5953 Å; angles 120.41, 104.62, 90.00 degrees
Positions (direct):
Zr1 0.1294 0.1293 0.2587
Zr2 0.8706 0.8707 0.7413
Ga1 0.6714 0.4648 0.3428
Ga2 0.0001 0.3407 0.0002
Ga3 0.3287 0.1222 0.6574
Ga4 0.6713 0.8778 0.3426
Ga5 0.9999 0.6593 0.9998
Ga6 0.3286 0.5352 0.6572
Ni1 0.5000 0.1526 0.0001
Ni2 0.5000 0.8474 0.9999
Ni3 0.1968 0.6969 0.3937
Ni4 0.8032 0.3031 0.6063

=====

VASP calculation (PBE) on a geometry-optimized ZrGa3Ni4 structure.

Results
E_form = -0.431 eV per atom
final energy = -44.21 eV per cell
N(E_F) = 4.44 states/eV/cell

Cell lengths 4.0947, 4.0947, 7.9248 Å; angles 75.03, 75.03, 60.00 degrees
Positions (direct):
Ni1 0.8714 0.8714 0.3859
Ni2 0.3959 0.3959 0.8123
Ni3 0.1286 0.1286 0.6141
Ni4 0.6041 0.6041 0.1877
Ga1 0.2510 0.2510 0.2469
Ga2 0.7490 0.7490 0.7531
Ga3 0.5000 0.5000 0.5000
Zr1 0.0000 0.0000 0.0000

=====

VASP calculation (PBE) on a geometry-optimized Zr2Ga6Ni structure.

Results
E_form = -0.270 eV per atom
final energy = -43.47 eV per cell
N(E_F) = 5.11 states/eV/cell

Cell lengths 3.0747, 6.7575, 8.4581 Å; angles 113.55, 90.12, 90.00 degrees
Positions (direct):
Zr1 0.5006 0.7118 0.4237
Zr2 0.4994 0.2882 0.5763
Ga1 0.9994 0.3259 0.2800
Ga2 0.0006 0.0459 0.7200
Ga3 0.0006 0.6741 0.7200
Ga4 0.5000 0.3027 0.0000
Ga5 0.9994 0.9541 0.2800
Ga6 0.5000 0.6973 0.0000
Ni1 0.0000 0.0000 0.0000

=====

VASP calculation (PBE) on a geometry-optimized ZrGa3Ni structure.

Results
energy relative to the lowest polymorph listed for this composition = 1478.2 meV per atom
E_form = 1.064 eV per atom
final energy = -18.09 eV per cell
N(E_F) = 6.63 states/eV/cell

Cell lengths 5.1467, 5.1467, 5.1467 Å; angles 90.00, 90.00, 90.00 degrees
Each line ends with the local moment (μB).
Positions (direct):
Ni1 0.5000 0.5000 0.5000  0.73
Ga1 0.0000 0.5000 0.0000  0.00
Ga2 0.0000 0.0000 0.5000  -0.01
Ga3 0.5000 0.0000 0.0000  0.00
Zr1 0.0000 0.0000 0.0000  0.01

=====

VASP calculation (PBE) on a geometry-optimized ZrGa3Ni structure.

Results
energy relative to the lowest polymorph listed for this composition = 367.4 meV per atom
E_form = -0.047 eV per atom
final energy = -23.64 eV per cell
N(E_F) = 2.69 states/eV/cell

Cell lengths 4.4819, 4.4819, 4.4819 Å; angles 90.00, 90.00, 90.00 degrees
Positions (direct):
Ni1 0.0000 0.0000 0.0000
Ga1 0.0000 0.5000 0.0000
Ga2 0.0000 0.0000 0.5000
Ga3 0.5000 0.0000 0.0000
Zr1 0.5000 0.5000 0.5000

=====

VASP calculation (PBE) on a geometry-optimized ZrGa2Ni structure.

Results
E_form = -0.268 eV per atom
final energy = -21.46 eV per cell
N(E_F) = 2.04 states/eV/cell

Cell lengths 4.4844, 4.4844, 4.4844 Å; angles 60.00, 60.00, 60.00 degrees
Positions (direct):
Ni1 0.0000 0.0000 0.0000
Ga1 0.2500 0.2500 0.2500
Ga2 0.7500 0.7500 0.7500
Zr1 0.5000 0.5000 0.5000

=====

VASP calculation (PBE) on a geometry-optimized ZrGaNi structure.

Results
E_form = -0.598 eV per atom
final energy = -114.91 eV per cell
N(E_F) = 8.77 states/eV/cell

Cell lengths 3.3728, 6.9832, 12.3158 Å; angles 90.00, 90.00, 90.00 degrees
Positions (direct):
Zr1 0.0000 0.2321 0.9490
Zr2 0.0000 0.7679 0.0510
Zr3 0.0000 0.2321 0.5510
Zr4 0.0000 0.7679 0.4490
Zr5 0.0000 0.1598 0.2500
Zr6 0.0000 0.8402 0.7500
Ni1 0.5000 0.0665 0.0925
Ni2 0.5000 0.9335 0.9075
Ni3 0.5000 0.0665 0.4075
Ni4 0.5000 0.9335 0.5925
Ni5 0.0000 0.5574 0.2500
Ni6 0.0000 0.4426 0.7500
Ga1 0.5000 0.4283 0.1169
Ga2 0.5000 0.5717 0.8831
Ga3 0.5000 0.4283 0.3831
Ga4 0.5000 0.5717 0.6169
Ga5 0.5000 0.8220 0.2500
Ga6 0.5000 0.1780 0.7500

=====

Among the records above, which one has the highest final energy? number 5